# NbNiSbIr (PBE, relaxed)
data_NbNiSbIr
_cell_length_a 6.3736
_cell_length_b 6.3736
_cell_length_c 6.3736
_cell_angle_alpha 90.00
_cell_angle_beta 90.00
_cell_angle_gamma 90.00
_symmetry_space_group_name_H-M 'F -4 3 m'
_symmetry_Int_Tables_number 216
_symmetry_space_group_name_Hall 'F -4 2 3'
loop_
_atom_site_label
_atom_site_fract_x
_atom_site_fract_y
_atom_site_fract_z
Nb1 0.0000 0.0000 0.0000
Ni1 0.0000 0.0000 0.5000
Sb1 0.2500 0.2500 0.2500
Ir1 0.2500 0.2500 0.7500
# - final energy (eV/atom) = -7.19
# - calculated volume (A^3/atom) = 16.182
# - size of the total moment (μB/cell) = 0.01

=====

# NpNbIr (PBE, relaxed)
data_NpNbIr
_cell_length_a 6.4492
_cell_length_b 6.4492
_cell_length_c 6.4492
_cell_angle_alpha 90.00
_cell_angle_beta 90.00
_cell_angle_gamma 90.00
_symmetry_space_group_name_H-M 'F -4 3 m'
_symmetry_Int_Tables_number 216
_symmetry_space_group_name_Hall 'F -4 2 3'
loop_
_atom_site_label
_atom_site_fract_x
_atom_site_fract_y
_atom_site_fract_z
Np1 0.0000 0.0000 0.0000
Nb1 0.0000 0.0000 0.5000
Ir1 0.2500 0.2500 0.7500
# - final energy (eV/atom) = -10.35
# - calculated volume (A^3/atom) = 22.353
# - size of the total moment (μB/cell) = 15.17

=====

# NpNbIr (PBE, relaxed)
data_NpNbIr
_cell_length_a 6.2898
_cell_length_b 6.2898
_cell_length_c 6.2898
_cell_angle_alpha 90.00
_cell_angle_beta 90.00
_cell_angle_gamma 90.00
_symmetry_space_group_name_H-M 'F -4 3 m'
_symmetry_Int_Tables_number 216
_symmetry_space_group_name_Hall 'F -4 2 3'
loop_
_atom_site_label
_atom_site_fract_x
_atom_site_fract_y
_atom_site_fract_z
Np1 0.0000 0.0000 0.0000
Nb1 0.2500 0.2500 0.2500
Ir1 0.2500 0.2500 0.7500
# - final energy (eV/atom) = -10.05
# - calculated volume (A^3/atom) = 20.736
# - size of the total moment (μB/cell) = 11.77

=====

# Nb2Ir2O5 (PBE, relaxed)
data_Nb2Ir2O5
_cell_length_a 3.9871
_cell_length_b 3.9871
_cell_length_c 7.2081
_cell_angle_alpha 90.00
_cell_angle_beta 90.00
_cell_angle_gamma 90.00
_symmetry_space_group_name_H-M 'P 4/m m m'
_symmetry_Int_Tables_number 123
_symmetry_space_group_name_Hall '-P 4 2'
loop_
_atom_site_label
_atom_site_fract_x
_atom_site_fract_y
_atom_site_fract_z
Nb1 0.0000 0.0000 0.2252
Ir1 0.5000 0.5000 0.0000
Ir2 0.5000 0.5000 0.5000
O1 0.0000 0.0000 0.5000
O2 0.0000 0.5000 0.2325
# - final energy (eV/atom) = -7.47
# - calculated volume (A^3/atom) = 12.732
# - size of the total moment (μB/cell) = 3.28